TlBiOs2 after structural relaxation, computed with GGA-PBE.

Summary:
electronic total energy: -45.100 eV/cell
formation energy: 1.5392 eV/atom

Lattice parameters (Å, degrees): 7.759 7.759 6.160 50.97 50.97 90.00
Fractional coordinates of all 8 atoms:
1 Tl 0.500 0.500 0.000
2 Tl 0.250 0.750 0.500
3 Os 0.628 0.125 0.250
4 Os 0.122 0.625 0.250
5 Os 0.375 0.372 0.750
6 Os 0.875 0.878 0.750
7 Bi 0.000 0.000 0.000
8 Bi 0.750 0.250 0.500